Below is Nd7DyEr4 after structural relaxation, with properties calculated at the PBE level.

Cell: 6.320 7.281 8.975 Å, 90.03 103.58 90.02°
Atoms (fractional coordinates):
Nd (0.000, 0.000, 0.000)
Nd (0.221, 0.500, 0.666)
Nd (0.281, 0.751, 0.335)
Nd (0.499, 0.247, 0.002)
Nd (0.501, 0.753, 0.998)
Nd (0.719, 0.249, 0.665)
Nd (0.779, 0.500, 0.334)
Dy (0.000, 0.500, 0.000)
Er (0.219, 0.000, 0.664)
Er (0.277, 0.247, 0.333)
Er (0.723, 0.753, 0.667)
Er (0.781, 0.000, 0.336)

SG = P-1, No. 2
crystal system = triclinic
calculated total energy = -4.679 eV per atom
polymorph energy (0 for the lowest one) = 0 meV per atom
DOS(E_F) = 1.3748 states/eV per atom